Computed, not measured: a relaxed CaTaTiIr2 crystal at the PBE-GGA level of DFT. Values from VASP.

Computed properties:
energy of formation = -0.629 eV per atom
calculated total energy = -42.61 eV for the cell shown

```
&SYSTEM
  ibrav = 0, nat = 5, ntyp = 4
/
ATOMIC_SPECIES
Ca 40.08 Ca.upf
Ta 180.95 Ta.upf
Ti 47.87 Ti.upf
Ir 192.22 Ir.upf
CELL_PARAMETERS angstrom
-2.1826 2.1826 5.3352
2.1826 -2.1826 5.3352
2.1826 2.1826 -5.3352
ATOMIC_POSITIONS crystal
Ca 0.0000 0.0000 0.0000
Ta 0.7500 0.2500 0.5000
Ti 0.2500 0.7500 0.5000
Ir 0.3777 0.3777 0.0000
Ir 0.6223 0.6223 0.0000
```

Computed, not measured: a relaxed CaTaVIr2 crystal at the PBE-GGA level of DFT. Values from VASP.

Computed properties:
energy of formation = -0.445 eV per atom
calculated total energy = -42.92 eV for the cell shown

```
&SYSTEM
  ibrav = 0, nat = 5, ntyp = 4
/
ATOMIC_SPECIES
Ca 40.08 Ca.upf
Ta 180.95 Ta.upf
V 50.94 V.upf
Ir 192.22 Ir.upf
CELL_PARAMETERS angstrom
-2.1696 2.1696 5.2484
2.1696 -2.1696 5.2484
2.1696 2.1696 -5.2484
ATOMIC_POSITIONS crystal
Ca 0.0000 0.0000 0.0000
Ta 0.2500 0.7500 0.5000
V 0.7500 0.2500 0.5000
Ir 0.3750 0.3750 0.0000
Ir 0.6250 0.6250 0.0000
```

Computed, not measured: a relaxed CaTb3Ir crystal at the PBE-GGA level of DFT. Values from VASP.

Computed properties:
energy of formation = -0.322 eV per atom
calculated total energy = -26.37 eV for the cell shown

```
&SYSTEM
  ibrav = 0, nat = 5, ntyp = 3
/
ATOMIC_SPECIES
Ca 40.08 Ca.upf
Tb 158.93 Tb.upf
Ir 192.22 Ir.upf
CELL_PARAMETERS angstrom
5.5014 0.0000 0.0000
0.0000 5.5014 0.0000
0.0000 0.0000 5.5014
ATOMIC_POSITIONS crystal
Ca 0.0000 0.0000 0.0000
Tb 0.0000 0.5000 0.5000
Tb 0.5000 0.0000 0.5000
Tb 0.5000 0.5000 0.0000
Ir 0.5000 0.5000 0.5000
```

Computed, not measured: a relaxed CaTb3Ir8 crystal at the PBE-GGA level of DFT. Values from VASP.

Computed properties:
energy of formation = -0.724 eV per atom
calculated total energy = -95.46 eV for the cell shown

```
&SYSTEM
  ibrav = 0, nat = 12, ntyp = 3
/
ATOMIC_SPECIES
Ca 40.08 Ca.upf
Tb 158.93 Tb.upf
Ir 192.22 Ir.upf
CELL_PARAMETERS angstrom
2.6840 1.5496 8.7700
-2.6840 1.5496 8.7700
0.0000 -3.0992 8.7700
ATOMIC_POSITIONS crystal
Ca 0.0000 0.0000 0.0000
Tb 0.3729 0.3729 0.3729
Tb 0.4991 0.4991 0.4991
Tb 0.8763 0.8763 0.8763
Ir 0.1871 0.1871 0.1871
Ir 0.4371 0.4371 0.9355
Ir 0.4371 0.9355 0.4371
Ir 0.4384 0.9371 0.9371
Ir 0.6870 0.6870 0.6870
Ir 0.9355 0.4371 0.4371
Ir 0.9371 0.4384 0.9371
Ir 0.9371 0.9371 0.4384
```

Computed, not measured: a relaxed Ca2Tb2Ir3 crystal at the PBE-GGA level of DFT. Values from VASP.

Computed properties:
energy of formation = -0.548 eV per atom
calculated total energy = -43.69 eV for the cell shown

```
&SYSTEM
  ibrav = 0, nat = 7, ntyp = 3
/
ATOMIC_SPECIES
Ca 40.08 Ca.upf
Tb 158.93 Tb.upf
Ir 192.22 Ir.upf
CELL_PARAMETERS angstrom
4.1762 -2.4114 0.0000
4.1762 2.4114 0.0000
-2.7930 0.0000 8.0353
ATOMIC_POSITIONS crystal
Ca 0.1273 0.1273 0.3811
Ca 0.8727 0.8727 0.6189
Tb 0.3769 0.3769 0.1300
Tb 0.6231 0.6231 0.8700
Ir 0.0000 0.0000 0.0000
Ir 0.2569 0.2569 0.7703
Ir 0.7431 0.7431 0.2297
```

Computed, not measured: a relaxed Ca2TbIr9 crystal at the PBE-GGA level of DFT. Values from VASP.

Computed properties:
energy of formation = -0.376 eV per atom
calculated total energy = -92.90 eV for the cell shown

```
&SYSTEM
  ibrav = 0, nat = 12, ntyp = 3
/
ATOMIC_SPECIES
Ca 40.08 Ca.upf
Tb 158.93 Tb.upf
Ir 192.22 Ir.upf
CELL_PARAMETERS angstrom
2.6633 1.5377 8.7530
-2.6633 1.5377 8.7530
0.0000 -3.0753 8.7530
ATOMIC_POSITIONS crystal
Ca 0.1413 0.1413 0.1413
Ca 0.8587 0.8587 0.8587
Tb 0.0000 0.0000 0.0000
Ir 0.0831 0.5806 0.5806
Ir 0.3328 0.3328 0.3328
Ir 0.4194 0.4194 0.9169
Ir 0.4194 0.9169 0.4194
Ir 0.5000 0.5000 0.5000
Ir 0.5806 0.0831 0.5806
Ir 0.5806 0.5806 0.0831
Ir 0.6672 0.6672 0.6672
Ir 0.9169 0.4194 0.4194
```

Computed, not measured: a relaxed CaTbZnIr crystal at the PBE-GGA level of DFT. Values from VASP.

Computed properties:
energy of formation = -0.419 eV per atom
calculated total energy = -18.44 eV for the cell shown

```
&SYSTEM
  ibrav = 0, nat = 4, ntyp = 4
/
ATOMIC_SPECIES
Ca 40.08 Ca.upf
Tb 158.93 Tb.upf
Zn 65.41 Zn.upf
Ir 192.22 Ir.upf
CELL_PARAMETERS angstrom
0.0000 3.4978 3.4978
3.4978 0.0000 3.4978
3.4978 3.4978 0.0000
ATOMIC_POSITIONS crystal
Ca 0.0000 0.0000 0.0000
Tb 0.5000 0.5000 0.5000
Zn 0.2500 0.2500 0.2500
Ir 0.7500 0.7500 0.7500
```

Computed, not measured: a relaxed CaTcIr2 crystal at the PBE-GGA level of DFT. Values from VASP.

Computed properties:
ΔE to the lowest computed polymorph = 358.3 meV per atom
energy of formation = 0.261 eV per atom
calculated total energy = -29.05 eV for the cell shown

```
&SYSTEM
  ibrav = 0, nat = 4, ntyp = 3
/
ATOMIC_SPECIES
Ca 40.08 Ca.upf
Tc 98.00 Tc.upf
Ir 192.22 Ir.upf
CELL_PARAMETERS angstrom
-2.0924 2.0924 3.7953
2.0924 -2.0924 3.7953
2.0924 2.0924 -3.7953
ATOMIC_POSITIONS crystal
Ca 0.0000 0.0000 0.0000
Tc 0.5000 0.5000 0.0000
Ir 0.2500 0.7500 0.5000
Ir 0.7500 0.2500 0.5000
```

Computed, not measured: a relaxed CaTcIr crystal at the PBE-GGA level of DFT. Values from VASP.

Computed properties:
ΔE to the lowest computed polymorph = 1745.1 meV per atom
energy of formation = 1.592 eV per atom
calculated total energy = -32.91 eV for the cell shown

```
&SYSTEM
  ibrav = 0, nat = 6, ntyp = 3
/
ATOMIC_SPECIES
Ca 40.08 Ca.upf
Tc 98.00 Tc.upf
Ir 192.22 Ir.upf
CELL_PARAMETERS angstrom
5.0454 0.0000 0.0000
-2.5227 4.3694 0.0000
0.0000 0.0000 9.1555
ATOMIC_POSITIONS crystal
Ca 0.3333 0.6667 0.2500
Ca 0.6667 0.3333 0.7500
Tc 0.0000 0.0000 0.2500
Tc 0.0000 0.0000 0.7500
Ir 0.0000 0.0000 0.0000
Ir 0.0000 0.0000 0.5000
```

Computed, not measured: a relaxed CaTcIr2 crystal at the PBE-GGA level of DFT. Values from VASP.

Computed properties:
ΔE to the lowest computed polymorph = 190.6 meV per atom
energy of formation = 0.093 eV per atom
calculated total energy = -29.72 eV for the cell shown

```
&SYSTEM
  ibrav = 0, nat = 4, ntyp = 3
/
ATOMIC_SPECIES
Ca 40.08 Ca.upf
Tc 98.00 Tc.upf
Ir 192.22 Ir.upf
CELL_PARAMETERS angstrom
-1.4111 2.3326 5.2039
1.4111 -2.3326 5.2039
1.4111 2.3326 -5.2039
ATOMIC_POSITIONS crystal
Ca 0.0000 0.0000 0.0000
Tc 0.7106 0.2106 0.5000
Ir 0.2763 0.7763 0.5000
Ir 0.4991 0.4991 0.0000
```

Computed, not measured: a relaxed CaTcIr2 crystal at the PBE-GGA level of DFT. Values from VASP.

Computed properties:
ΔE to the lowest computed polymorph = 489.0 meV per atom
energy of formation = 0.392 eV per atom
calculated total energy = -28.52 eV for the cell shown

```
&SYSTEM
  ibrav = 0, nat = 4, ntyp = 3
/
ATOMIC_SPECIES
Ca 40.08 Ca.upf
Tc 98.00 Tc.upf
Ir 192.22 Ir.upf
CELL_PARAMETERS angstrom
2.8771 0.0000 0.0000
0.0000 4.7108 0.0000
0.0000 0.0000 4.8504
ATOMIC_POSITIONS crystal
Ca 0.0000 0.0000 0.0000
Tc 0.5000 0.0000 0.5000
Ir 0.0000 0.5000 0.5000
Ir 0.5000 0.5000 0.0000
```

Computed, not measured: a relaxed CaTcIr crystal at the PBE-GGA level of DFT. Values from VASP.

Computed properties:
ΔE to the lowest computed polymorph = 258.1 meV per atom
energy of formation = 0.105 eV per atom
calculated total energy = -20.91 eV for the cell shown

```
&SYSTEM
  ibrav = 0, nat = 3, ntyp = 3
/
ATOMIC_SPECIES
Ca 40.08 Ca.upf
Tc 98.00 Tc.upf
Ir 192.22 Ir.upf
CELL_PARAMETERS angstrom
-1.4242 1.9397 5.3581
1.4242 -1.9397 5.3581
1.4242 1.9397 -5.3581
ATOMIC_POSITIONS crystal
Ca 0.0000 0.0000 0.0000
Tc 0.2868 0.2868 0.0000
Ir 0.7043 0.7043 0.0000
```

Computed, not measured: a relaxed Ca4TcIr crystal at the PBE-GGA level of DFT. Values from VASP.

Computed properties:
energy of formation = 1.140 eV per atom
calculated total energy = -20.39 eV for the cell shown

```
&SYSTEM
  ibrav = 0, nat = 6, ntyp = 3
/
ATOMIC_SPECIES
Ca 40.08 Ca.upf
Tc 98.00 Tc.upf
Ir 192.22 Ir.upf
CELL_PARAMETERS angstrom
0.0000 4.2051 4.2051
4.2051 0.0000 4.2051
4.2051 4.2051 0.0000
ATOMIC_POSITIONS crystal
Ca 0.1248 0.1248 0.1248
Ca 0.1248 0.1248 0.6256
Ca 0.1248 0.6256 0.1248
Ca 0.6256 0.1248 0.1248
Tc 0.5000 0.5000 0.5000
Ir 0.7500 0.7500 0.7500
```

Computed, not measured: a relaxed CaTcIr crystal at the PBE-GGA level of DFT. Values from VASP.

Computed properties:
ΔE to the lowest computed polymorph = 513.4 meV per atom
energy of formation = 0.360 eV per atom
calculated total energy = -20.15 eV for the cell shown

```
&SYSTEM
  ibrav = 0, nat = 3, ntyp = 3
/
ATOMIC_SPECIES
Ca 40.08 Ca.upf
Tc 98.00 Tc.upf
Ir 192.22 Ir.upf
CELL_PARAMETERS angstrom
4.6575 0.0000 0.0000
-2.3288 4.0335 0.0000
0.0000 0.0000 2.8469
ATOMIC_POSITIONS crystal
Ca 0.0000 0.0000 0.0000
Tc 0.3333 0.6667 0.5159
Ir 0.6667 0.3333 0.4886
```